Material: ZnIr2Ru
Method: DFT, PBE
State: relaxed

Unit cell a=2.7953 b=4.5275 c=4.5885 alpha=90.00 beta=90.00 gamma=90.00
With the nearest neighbours (Å) after each atom.
Space group Pmmm (No. 47)
Inequivalent atoms, fractional coordinates:
1 Zn 0.0000 0.0000 0.0000  4 Ir 2.66, 4 Ru 2.69, 2 Zn 2.80
2 Ir 0.0000 0.5000 0.5000  4 Ru 2.66, 6 Ir 2.69-2.80
3 Ir 0.5000 0.5000 0.0000  4 Zn 2.66, 6 Ir 2.69-2.80
4 Ru 0.5000 0.0000 0.5000  4 Ir 2.66, 4 Zn 2.69, 2 Ru 2.80

Output
The energy of formation is 0.1844 eV/atom. For the density of states at the Fermi level, the calculation gives 4.9 states/eV/cell.